## CuBSb2 (PBE-GGA)

Data for crystalline CuBSb2 at its relaxed geometry.

Cell: 5.7791 5.7791 10.3008 Å, 90.00 90.00 90.00°
With the nearest neighbours (Å) after each atom.
Space group I-42d (No. 122)
Unique sites:
Cu (0.0000, 0.0000, 0.0000)  4 Sb 2.55
B (0.0000, 0.0000, 0.5000)  4 Sb 2.29
Sb (0.2131, 0.2500, 0.6250)  2 B 2.29, 2 Cu 2.55

Computed properties:
VASP energy	-4.38	eV/atom
formation energy from raw total energies	0.377	eV/atom
density	6137	kg/m³
spin magnetization	0.0	μB per cell

***

## HfCd3Ag6 (PBE-GGA)

Data for crystalline HfCd3Ag6 at its relaxed geometry.

Cell: 8.0072 4.8949 10.3729 Å, 90.00 110.55 90.00°
With the nearest neighbours (Å) after each atom.
Space group P2_1/m (No. 11)
Unique sites:
Hf (0.1893, 0.2500, 0.1307)  10 Ag 2.92-3.01, 2 Cd 3.08-3.11
Cd (0.0177, 0.7500, 0.6692)  8 Ag 2.95-3.09, 3 Cd 3.01-3.08, 1 Hf 3.08
Cd (0.2105, 0.7500, 0.4666)  9 Ag 2.94-3.12, 3 Cd 3.01-3.08
Cd (0.3974, 0.2500, 0.9282)  9 Ag 2.93-3.02, 2 Cd 3.03, 1 Hf 3.11
Ag (0.0007, 0.2500, 0.8328)  3 Hf 2.92-2.98, 4 Cd 2.97-3.01, 5 Ag 2.98-3.08
Ag (0.2010, 0.7500, 0.9705)  5 Ag 2.90-3.18, 3 Hf 2.93-2.98, 4 Cd 2.95-3.02
Ag (0.2051, 0.2500, 0.6306)  7 Cd 2.93-3.12, 5 Ag 2.96-3.08
Ag (0.3937, 0.2500, 0.4313)  7 Ag 2.93-3.04, 4 Cd 2.94-3.09, 1 Hf 2.97
Ag (0.3958, 0.7500, 0.2646)  8 Ag 2.90-3.01, 2 Cd 2.96-3.01, 2 Hf 3.01
Ag (0.4150, 0.7500, 0.7636)  6 Ag 2.93-3.18, 5 Cd 2.94-3.02, 1 Hf 2.97

Computed properties:
ΔH_f (0 K)	-0.004	eV per atom
VASP energy	-2.98	eV/atom
density	10145	kg/m³
spin magnetization	0.0	μB per cell

***

## ZrNbB2 (PBE-GGA)

Data for crystalline ZrNbB2 at its relaxed geometry.

Cell: 5.9234 5.9234 5.9234 Å, 90.00 90.00 90.00°
With the nearest neighbours (Å) after each atom.
Space group Fm-3m (No. 225)
Unique sites:
Zr (0.0000, 0.0000, 0.0000)  8 B 2.56
Nb (0.0000, 0.0000, 0.5000)  8 B 2.56
B (0.2500, 0.2500, 0.2500)  4 Zr 2.56, 4 Nb 2.56

Computed properties:
ΔH_f (0 K)	0.207	eV per atom
VASP energy	-7.79	eV/atom
energy above the most stable polymorph in this dataset	0.928	eV/atom
density	6576	kg/m³
spin magnetization	0.0	μB per cell

***

## NaTlSn (PBE-GGA)

Data for crystalline NaTlSn at its relaxed geometry.

Cell: 3.5321 5.9933 8.6706 Å, 70.66 78.28 89.89°
With the nearest neighbours (Å) after each atom.
Space group P1 (No. 1)
Unique sites:
Na (0.0000, 0.0000, 0.0000)  3 Tl 3.21-3.31, 6 Sn 3.39-3.53, 3 Na 3.48-3.53
Na (0.1615, 0.5364, 0.6703)  3 Sn 3.33-3.36, 6 Tl 3.41-3.49, 3 Na 3.48-3.53
Tl (0.6682, 0.0374, 0.6625)  6 Na 3.31-3.49, 3 Sn 3.31-3.63, 3 Tl 3.35-3.53
Tl (0.8324, 0.5330, 0.3278)  3 Na 3.21-3.41, 6 Sn 3.29-3.50, 3 Tl 3.35-3.53
Sn (0.3339, 0.0331, 0.3329)  1 Sn 3.12, 5 Tl 3.31-3.48, 3 Na 3.36-3.40
Sn (0.4905, 0.4861, 0.0137)  1 Sn 3.12, 2 Tl 3.29, 4 Na 3.33-3.44

Computed properties:
ΔH_f (0 K)	-0.099	eV per atom
VASP energy	-2.66	eV/atom
density	6795	kg/m³
spin magnetization	0.0	μB per cell